The following is a PBE calculation of a geometry-optimized NbCrHg3 structure, from the Alexandria database.

## Properties
Total magnetization ... 7.1 μB/cell
Energy of formation from the pure elements ... 587 kJ/mol of formula units
Energy ... -2.90 eV per atom

CIF file:
```
data_NbCrHg3
_cell_length_a 5.093
_cell_length_b 5.093
_cell_length_c 5.093
_cell_angle_alpha 90.00
_cell_angle_beta 90.00
_cell_angle_gamma 90.00
_symmetry_space_group_name_H-M 'P 1'
_symmetry_Int_Tables_number 1
loop_
_symmetry_equiv_pos_as_xyz
'x,y,z'
loop_
_atom_site_label
_atom_site_type_symbol
_atom_site_fract_x
_atom_site_fract_y
_atom_site_fract_z
Nb1 Nb 0.000 0.000 0.000
Cr1 Cr 0.500 0.500 0.500
Hg1 Hg 0.000 0.500 0.500
Hg2 Hg 0.500 0.000 0.500
Hg3 Hg 0.500 0.500 0.000
```